Ho2Zn3Cu12Si after structural relaxation, computed with PBE-GGA.

abc: 9.432 9.432 9.432
angles: 38.12 38.12 38.12
Fractional positions:
Ho 0.148 0.148 0.148
Ho 0.852 0.852 0.852
Zn 0.000 0.500 0.500
Zn 0.500 0.000 0.500
Zn 0.500 0.500 0.000
Cu 0.080 0.080 0.691
Cu 0.080 0.691 0.080
Cu 0.137 0.582 0.582
Cu 0.309 0.920 0.920
Cu 0.418 0.418 0.863
Cu 0.418 0.863 0.418
Cu 0.582 0.137 0.582
Cu 0.582 0.582 0.137
Cu 0.691 0.080 0.080
Cu 0.863 0.418 0.418
Cu 0.920 0.309 0.920
Cu 0.920 0.920 0.309
Si 0.500 0.500 0.500

Results
formation energy without anion corrections = 1.4 eV per formula unit
VASP energy = -66.11 eV/cell
total magnetic moment = 0.0 μB/f.u.